This record from the Alexandria database describes an optimized crystal structure of Sc2Al2Ru5W. The functional is PBE.

Values from the calculation:
E in eV/atom: -8.3472
Formation energy from the elements in eV per atom: -0.40
Space group: No. 127
Density in g/cm3: 8.73

a b c (Å): 3.216 9.929 9.929
angles (deg): 90.00 90.00 90.00
Positions (direct):
1 Sc 0.000 0.670 0.170
2 Sc 0.000 0.330 0.830
3 Sc 0.000 0.170 0.330
4 Sc 0.000 0.830 0.670
5 Al 0.000 0.128 0.628
6 Al 0.000 0.872 0.372
7 Al 0.000 0.628 0.872
8 Al 0.000 0.372 0.128
9 Ru 0.500 0.197 0.067
10 Ru 0.500 0.803 0.933
11 Ru 0.500 0.067 0.803
12 Ru 0.500 0.697 0.433
13 Ru 0.500 0.933 0.197
14 Ru 0.500 0.303 0.567
15 Ru 0.500 0.567 0.697
16 Ru 0.500 0.433 0.303
17 Ru 0.500 0.500 0.000
18 Ru 0.500 0.000 0.500
19 W 0.000 0.000 0.000
20 W 0.000 0.500 0.500